## AlInS2N (PBE)

Data for a relaxed structure of AlInS2N.

Lattice parameters (Å, degrees): 4.8745 4.8745 3.6299 90.00 90.00 90.00
With the nearest neighbours (Å) after each atom.
Sites, in units of the cell vectors:
1 Al 0.0000 0.0000 0.0000  2 N 1.81
2 In 0.5000 0.5000 0.5000  8 S 3.04
3 S 0.0000 0.5000 0.0000  2 Al 2.44
4 S 0.5000 0.0000 0.0000  2 Al 2.44
5 N 0.0000 0.0000 0.5000  2 Al 1.81

Results
**Energy relative to the elements, uncorrected**: 75.1 meV/atom
**M_tot**: 0.00 Bohr magnetons per cell
**D(E_F)**: 2.3 states/eV per cell